Record 1
# Sm6Ge2Te3Au (PBE, relaxed)
# formation energy (no corrections): -1.16 eV/atom
data_Sm6Ge2Te3Au
_cell_length_a 19.1272
_cell_length_b 4.3254
_cell_length_c 8.8268
_cell_angle_alpha 90.00
_cell_angle_beta 105.03
_cell_angle_gamma 90.00
_symmetry_space_group_name_H-M 'C 1 2/m 1'
_symmetry_Int_Tables_number 12
loop_
_symmetry_equiv_pos_as_xyz
'x,y,z'
'-x,-y,-z'
'-x,y,-z'
'x,-y,z'
'x+1/2,y+1/2,z'
'-x+1/2,-y+1/2,-z'
'-x+1/2,y+1/2,-z'
'x+1/2,-y+1/2,z'
loop_
_atom_site_label
_atom_site_type_symbol
_atom_site_fract_x
_atom_site_fract_y
_atom_site_fract_z
_atom_site_occupancy
Sm1 Sm 0.0072 0.0000 0.2469 1
Sm2 Sm 0.1666 0.5000 0.1026 1
Sm3 Sm 0.1729 0.5000 0.5669 1
Ge1 Ge 0.1659 0.0000 0.3310 1
Te1 Te 0.0000 0.5000 0.5000 1
Te2 Te 0.1651 0.0000 0.8320 1
Au1 Au 0.0000 0.5000 0.0000 1

---

Record 2
# Sm8Ge3Te4Au (PBE, relaxed)
# formation energy (no corrections): -1.17 eV/atom
data_Sm8Ge3Te4Au
_cell_length_a 8.6659
_cell_length_b 8.6659
_cell_length_c 21.7006
_cell_angle_alpha 90.00
_cell_angle_beta 90.00
_cell_angle_gamma 120.00
_symmetry_space_group_name_H-M 'R -3 m'
_symmetry_Int_Tables_number 166
_symmetry_space_group_name_Hall '-R 3 2"'
loop_
_atom_site_label
_atom_site_type_symbol
_atom_site_fract_x
_atom_site_fract_y
_atom_site_fract_z
_atom_site_occupancy
Sm1 Sm 0.0000 0.0000 0.2410 1
Sm2 Sm 0.0087 0.5043 0.7573 1
Ge1 Ge 0.0000 0.5000 0.5000 1
Te1 Te 0.0000 0.0000 0.0000 1
Te2 Te 0.0000 0.5000 0.0000 1
Au1 Au 0.0000 0.0000 0.5000 1

---

Record 3
# SmGeTe3Au (PBE, relaxed)
# formation energy (no corrections): -0.61 eV/atom
data_SmGeTe3Au
_cell_length_a 8.4103
_cell_length_b 4.2026
_cell_length_c 9.9406
_cell_angle_alpha 90.00
_cell_angle_beta 98.91
_cell_angle_gamma 90.00
_symmetry_space_group_name_H-M 'P 1 21/m 1'
_symmetry_Int_Tables_number 11
loop_
_symmetry_equiv_pos_as_xyz
'x,y,z'
'-x,-y,-z'
'-x,y+1/2,-z'
'x,-y+1/2,z'
loop_
_atom_site_label
_atom_site_type_symbol
_atom_site_fract_x
_atom_site_fract_y
_atom_site_fract_z
_atom_site_occupancy
Sm1 Sm 0.1758 0.2500 0.2751 1
Ge1 Ge 0.3395 0.7500 0.8548 1
Te1 Te 0.0882 0.2500 0.8640 1
Te2 Te 0.2871 0.7500 0.5162 1
Te3 Te 0.4004 0.7500 0.1451 1
Au1 Au 0.0808 0.2500 0.5842 1

---

Record 4
# SmTmGeAu (PBE, relaxed)
# formation energy: -0.73 eV/atom
data_SmTmGeAu
_cell_length_a 7.2154
_cell_length_b 7.2154
_cell_length_c 7.2154
_cell_angle_alpha 90.00
_cell_angle_beta 90.00
_cell_angle_gamma 90.00
_symmetry_space_group_name_H-M 'F -4 3 m'
_symmetry_Int_Tables_number 216
_symmetry_space_group_name_Hall 'F -4 2 3'
loop_
_atom_site_label
_atom_site_type_symbol
_atom_site_fract_x
_atom_site_fract_y
_atom_site_fract_z
_atom_site_occupancy
Sm1 Sm 0.0000 0.0000 0.0000 1
Tm1 Tm 0.0000 0.0000 0.5000 1
Ge1 Ge 0.2500 0.2500 0.2500 1
Au1 Au 0.2500 0.2500 0.7500 1

---

Record 5
# SmTmGeAu (PBE, relaxed)
# formation energy: -0.83 eV/atom
data_SmTmGeAu
_cell_length_a 4.3347
_cell_length_b 4.0657
_cell_length_c 11.0028
_cell_angle_alpha 90.00
_cell_angle_beta 90.00
_cell_angle_gamma 90.00
_symmetry_space_group_name_H-M 'A m m 2'
_symmetry_Int_Tables_number 38
loop_
_symmetry_equiv_pos_as_xyz
'x,y,z'
'-x,-y,z'
'-x,y,z'
'x,-y,z'
'x,y+1/2,z+1/2'
'-x,-y+1/2,z+1/2'
'-x,y+1/2,z+1/2'
'x,-y+1/2,z+1/2'
loop_
_atom_site_label
_atom_site_type_symbol
_atom_site_fract_x
_atom_site_fract_y
_atom_site_fract_z
_atom_site_occupancy
Sm1 Sm 0.0000 0.0000 0.0000 1
Tm1 Tm 0.5000 0.0000 0.7219 1
Ge1 Ge 0.0000 0.0000 0.2709 1
Au1 Au 0.5000 0.0000 0.4402 1

---

Record 6
# SmZnGeAu (PBE, relaxed)
# formation energy: -0.45 eV/atom
data_SmZnGeAu
_cell_length_a 6.9245
_cell_length_b 6.9245
_cell_length_c 6.9245
_cell_angle_alpha 90.00
_cell_angle_beta 90.00
_cell_angle_gamma 90.00
_symmetry_space_group_name_H-M 'F -4 3 m'
_symmetry_Int_Tables_number 216
_symmetry_space_group_name_Hall 'F -4 2 3'
loop_
_atom_site_label
_atom_site_type_symbol
_atom_site_fract_x
_atom_site_fract_y
_atom_site_fract_z
_atom_site_occupancy
Sm1 Sm 0.0000 0.0000 0.0000 1
Zn1 Zn 0.0000 0.0000 0.5000 1
Ge1 Ge 0.2500 0.2500 0.7500 1
Au1 Au 0.2500 0.2500 0.2500 1

---

no.,total magnetic moment (Bohr magnetons per cell),DOS at the Fermi energy (states/eV/cell)
1,0.0,13.67
2,0.0,24.85
3,0.0,0.71
4,2.0,15.81
5,0.0,4.58
6,0.0,7.32